Rb2SrV2O7 | Alexandria via LeMat-Bulk | PBE+U | optimized geometry; ρ = 2.9 g/cm³; calculated total energy = -79.74 eV per cell
1.0
6.357 0.000 0.000
3.178 5.505 0.000
3.178 1.835 7.642
Rb Sr O V
2 1 7 2
direct
0.763 0.763 0.710
0.237 0.237 0.290
0.500 0.500 0.500
0.254 0.249 0.685
0.249 0.812 0.685
0.812 0.254 0.685
0.000 0.000 0.000
0.751 0.746 0.315
0.188 0.751 0.315
0.746 0.188 0.315
0.921 0.921 0.238
0.079 0.079 0.762